# Dy4BI2Br3 | OQMD | PBE | relaxed
# E_tot: -45.9 eV per formula unit
data_Dy4BI2Br3
_symmetry_space_group_name_H-M 'C 1 2/m 1'
_symmetry_Int_Tables_number 12
_symmetry_space_group_name_Hall '-C 2y'
_cell_length_a 18.6667
_cell_length_b 3.9580
_cell_length_c 8.2557
_cell_angle_alpha 90.00
_cell_angle_beta 101.72
_cell_angle_gamma 90.00
loop_
_atom_site_label
_atom_site_type_symbol
_atom_site_fract_x
_atom_site_fract_y
_atom_site_fract_z
_atom_site_occupancy
Dy1 Dy 0.0011 0.0000 0.2941 1
Dy2 Dy 0.1366 0.5000 0.5731 1
B1 B 0.0000 0.5000 0.5000 1
I1 I 0.1738 0.0000 0.3134 1
Br1 Br 0.0000 0.5000 0.0000 1
Br2 Br 0.1574 0.0000 0.8307 1

=====

# Dy4BI3Br2 | OQMD | PBE | relaxed
# E_tot: -45.2 eV per formula unit
data_Dy4BI3Br2
_symmetry_space_group_name_H-M 'C 1 2/m 1'
_symmetry_Int_Tables_number 12
_symmetry_space_group_name_Hall '-C 2y'
_cell_length_a 18.6369
_cell_length_b 4.0069
_cell_length_c 8.5686
_cell_angle_alpha 90.00
_cell_angle_beta 101.47
_cell_angle_gamma 90.00
loop_
_atom_site_label
_atom_site_type_symbol
_atom_site_fract_x
_atom_site_fract_y
_atom_site_fract_z
_atom_site_occupancy
Dy1 Dy 0.0012 0.0000 0.3038 1
Dy2 Dy 0.1368 0.5000 0.5693 1
B1 B 0.0000 0.5000 0.5000 1
I1 I 0.0000 0.5000 0.0000 1
I2 I 0.1741 0.0000 0.3191 1
Br1 Br 0.1575 0.0000 0.8159 1

=====

# Dy2Y2BI3Br2 | OQMD | PBE | relaxed
# E_tot: -49.0 eV per formula unit
data_Dy2Y2BI3Br2
_symmetry_space_group_name_H-M 'C 1 2/m 1'
_symmetry_Int_Tables_number 12
_symmetry_space_group_name_Hall '-C 2y'
_cell_length_a 18.6374
_cell_length_b 4.0118
_cell_length_c 8.5651
_cell_angle_alpha 90.00
_cell_angle_beta 101.74
_cell_angle_gamma 90.00
loop_
_atom_site_label
_atom_site_type_symbol
_atom_site_fract_x
_atom_site_fract_y
_atom_site_fract_z
_atom_site_occupancy
Dy1 Dy 0.0009 0.0000 0.3037 1
Y1 Y 0.1373 0.5000 0.5707 1
B1 B 0.0000 0.5000 0.5000 1
I1 I 0.0000 0.5000 0.0000 1
I2 I 0.1740 0.0000 0.3193 1
Br1 Br 0.1578 0.0000 0.8185 1

=====

# Dy2Y2BBr5 | OQMD | PBE | relaxed
# E_tot: -51.3 eV per formula unit
data_Dy2Y2BBr5
_symmetry_space_group_name_H-M 'C 1 2/m 1'
_symmetry_Int_Tables_number 12
_symmetry_space_group_name_Hall '-C 2y'
_cell_length_a 17.9201
_cell_length_b 3.9146
_cell_length_c 8.1894
_cell_angle_alpha 90.00
_cell_angle_beta 102.80
_cell_angle_gamma 90.00
loop_
_atom_site_label
_atom_site_type_symbol
_atom_site_fract_x
_atom_site_fract_y
_atom_site_fract_z
_atom_site_occupancy
Dy1 Dy 0.0008 0.0000 0.2927 1
Y1 Y 0.1426 0.5000 0.5752 1
B1 B 0.0000 0.5000 0.5000 1
Br1 Br 0.0000 0.5000 0.0000 1
Br2 Br 0.1652 0.0000 0.8384 1
Br3 Br 0.1723 0.0000 0.3322 1

=====

# Er4BBr5 | OQMD | PBE | relaxed
# E_tot: -47.2 eV per formula unit
data_Er4BBr5
_symmetry_space_group_name_H-M 'C 1 2/m 1'
_symmetry_Int_Tables_number 12
_symmetry_space_group_name_Hall '-C 2y'
_cell_length_a 17.7873
_cell_length_b 3.8672
_cell_length_c 8.1195
_cell_angle_alpha 90.00
_cell_angle_beta 102.77
_cell_angle_gamma 90.00
loop_
_atom_site_label
_atom_site_type_symbol
_atom_site_fract_x
_atom_site_fract_y
_atom_site_fract_z
_atom_site_occupancy
Er1 Er 0.0005 0.0000 0.2944 1
Er2 Er 0.1413 0.5000 0.5736 1
B1 B 0.0000 0.5000 0.5000 1
Br1 Br 0.0000 0.5000 0.0000 1
Br2 Br 0.1654 0.0000 0.8365 1
Br3 Br 0.1720 0.0000 0.3328 1

=====

# Gd4B2Br5 | OQMD | PBE | relaxed
# E_tot: -54.1 eV per formula unit
data_Gd4B2Br5
_symmetry_space_group_name_H-M 'I m m m'
_symmetry_Int_Tables_number 71
_symmetry_space_group_name_Hall '-I 2 2'
_cell_length_a 3.9190
_cell_length_b 8.0504
_cell_length_c 19.8144
_cell_angle_alpha 90.00
_cell_angle_beta 90.00
_cell_angle_gamma 90.00
loop_
_atom_site_label
_atom_site_type_symbol
_atom_site_fract_x
_atom_site_fract_y
_atom_site_fract_z
_atom_site_occupancy
Gd1 Gd 0.0000 0.0000 0.1566 1
Gd2 Gd 0.0000 0.2969 0.5000 1
B1 B 0.0000 0.0000 0.0396 1
Br1 Br 0.0000 0.2376 0.3376 1
Br2 Br 0.0000 0.5000 0.0000 1

=====

# Gd10B2Br15 | OQMD | PBE | relaxed
# E_tot: -126.3 eV per formula unit
data_Gd10B2Br15
_symmetry_space_group_name_H-M 'P -1'
_symmetry_Int_Tables_number 2
_symmetry_space_group_name_Hall '-P 1'
_cell_length_a 9.1407
_cell_length_b 9.9206
_cell_length_c 10.7628
_cell_angle_alpha 91.19
_cell_angle_beta 114.51
_cell_angle_gamma 110.84
loop_
_atom_site_label
_atom_site_type_symbol
_atom_site_fract_x
_atom_site_fract_y
_atom_site_fract_z
_atom_site_occupancy
Gd1 Gd 0.0253 0.2049 0.0951 1
Gd2 Gd 0.0850 0.5404 0.3235 1
Gd3 Gd 0.1745 0.2465 0.8216 1
Gd4 Gd 0.2219 0.5744 0.0482 1
Gd5 Gd 0.2998 0.9084 0.2760 1
B1 B 0.0327 0.6811 0.1233 1
Br1 Br 0.0919 0.0374 0.3412 1
Br2 Br 0.1387 0.3832 0.5843 1
Br3 Br 0.2108 0.7387 0.8202 1
Br4 Br 0.2686 0.0898 0.0568 1
Br5 Br 0.3355 0.4423 0.2977 1
Br6 Br 0.3843 0.7991 0.5288 1
Br7 Br 0.4439 0.1569 0.7730 1
Br8 Br 0.5000 0.5000 0.0000 1

=====

# Gd4B2IBr | OQMD | PBE | relaxed
# E_tot: -40.7 eV per formula unit
data_Gd4B2IBr
_symmetry_space_group_name_H-M 'P -6 m 2'
_symmetry_Int_Tables_number 187
_symmetry_space_group_name_Hall 'P -6 2'
_cell_length_a 3.9484
_cell_length_b 3.9484
_cell_length_c 14.6648
_cell_angle_alpha 90.00
_cell_angle_beta 90.00
_cell_angle_gamma 120.00
loop_
_atom_site_label
_atom_site_type_symbol
_atom_site_fract_x
_atom_site_fract_y
_atom_site_fract_z
_atom_site_occupancy
Gd1 Gd 0.0000 0.0000 0.1519 1
Gd2 Gd 0.6667 0.3333 0.3346 1
B1 B 0.3333 0.6667 0.2432 1
I1 I 0.0000 0.0000 0.5000 1
Br1 Br 0.6667 0.3333 0.0000 1

=====

# PrGd3B2Br2 | OQMD | PBE | relaxed
# E_tot: -41.4 eV per formula unit
data_PrGd3B2Br2
_symmetry_space_group_name_H-M 'P 3 m 1'
_symmetry_Int_Tables_number 156
_symmetry_space_group_name_Hall 'P 3 -2"'
_cell_length_a 3.9369
_cell_length_b 3.9369
_cell_length_c 14.5181
_cell_angle_alpha 90.00
_cell_angle_beta 90.00
_cell_angle_gamma 120.00
loop_
_atom_site_label
_atom_site_type_symbol
_atom_site_fract_x
_atom_site_fract_y
_atom_site_fract_z
_atom_site_occupancy
Pr1 Pr 0.0000 0.0000 0.0000 1
Gd1 Gd 0.0000 0.0000 0.3147 1
Gd2 Gd 0.6667 0.3333 0.5002 1
Gd3 Gd 0.6667 0.3333 0.8058 1
B1 B 0.3333 0.6667 0.4080 1
B2 B 0.3333 0.6667 0.8985 1
Br1 Br 0.0000 0.0000 0.6537 1
Br2 Br 0.6667 0.3333 0.1640 1

=====

# Pr3GdB2Br2 | OQMD | PBE | relaxed
# E_tot: -41.4 eV per formula unit
data_Pr3GdB2Br2
_symmetry_space_group_name_H-M 'P 3 m 1'
_symmetry_Int_Tables_number 156
_symmetry_space_group_name_Hall 'P 3 -2"'
_cell_length_a 4.0088
_cell_length_b 4.0088
_cell_length_c 14.7890
_cell_angle_alpha 90.00
_cell_angle_beta 90.00
_cell_angle_gamma 120.00
loop_
_atom_site_label
_atom_site_type_symbol
_atom_site_fract_x
_atom_site_fract_y
_atom_site_fract_z
_atom_site_occupancy
Pr1 Pr 0.0000 0.0000 0.0000 1
Pr2 Pr 0.0000 0.0000 0.3118 1
Pr3 Pr 0.6667 0.3333 0.5080 1
Gd1 Gd 0.6667 0.3333 0.8125 1
B1 B 0.3333 0.6667 0.4104 1
B2 B 0.3333 0.6667 0.9021 1
Br1 Br 0.0000 0.0000 0.6662 1
Br2 Br 0.6667 0.3333 0.1566 1

=====

# Gd4B2SeBr | OQMD | PBE | relaxed
# E_tot: -43.8 eV per formula unit
data_Gd4B2SeBr
_symmetry_space_group_name_H-M 'P -6 m 2'
_symmetry_Int_Tables_number 187
_symmetry_space_group_name_Hall 'P -6 2'
_cell_length_a 3.8828
_cell_length_b 3.8828
_cell_length_c 14.2059
_cell_angle_alpha 90.00
_cell_angle_beta 90.00
_cell_angle_gamma 120.00
loop_
_atom_site_label
_atom_site_type_symbol
_atom_site_fract_x
_atom_site_fract_y
_atom_site_fract_z
_atom_site_occupancy
Gd1 Gd 0.0000 0.0000 0.1382 1
Gd2 Gd 0.6667 0.3333 0.3410 1
B1 B 0.3333 0.6667 0.2471 1
Se1 Se 0.6667 0.3333 0.0000 1
Br1 Br 0.0000 0.0000 0.5000 1

=====

# Hg2BBrN2 | OQMD | PBE | relaxed
# E_tot: -24.4 eV per formula unit
data_Hg2BBrN2
_symmetry_space_group_name_H-M 'R -3 m'
_symmetry_Int_Tables_number 166
_symmetry_space_group_name_Hall '-R 3 2"'
_cell_length_a 3.8486
_cell_length_b 3.8486
_cell_length_c 25.3183
_cell_angle_alpha 90.00
_cell_angle_beta 90.00
_cell_angle_gamma 120.00
loop_
_atom_site_label
_atom_site_type_symbol
_atom_site_fract_x
_atom_site_fract_y
_atom_site_fract_z
_atom_site_occupancy
Hg1 Hg 0.0000 0.0000 0.2492 1
B1 B 0.0000 0.0000 0.5000 1
Br1 Br 0.0000 0.0000 0.0000 1
N1 N 0.0000 0.0000 0.4466 1

=====

# Ho4BBr5 | OQMD | PBE | relaxed
# E_tot: -47.3 eV per formula unit
data_Ho4BBr5
_symmetry_space_group_name_H-M 'C 1 2/m 1'
_symmetry_Int_Tables_number 12
_symmetry_space_group_name_Hall '-C 2y'
_cell_length_a 17.8578
_cell_length_b 3.8877
_cell_length_c 8.1533
_cell_angle_alpha 90.00
_cell_angle_beta 102.82
_cell_angle_gamma 90.00
loop_
_atom_site_label
_atom_site_type_symbol
_atom_site_fract_x
_atom_site_fract_y
_atom_site_fract_z
_atom_site_occupancy
Ho1 Ho 0.0006 0.0000 0.2934 1
Ho2 Ho 0.1417 0.5000 0.5741 1
B1 B 0.0000 0.5000 0.5000 1
Br1 Br 0.0000 0.5000 0.0000 1
Br2 Br 0.1654 0.0000 0.8370 1
Br3 Br 0.1719 0.0000 0.3328 1

=====

# Ho4BI3Br2 | OQMD | PBE | relaxed
# E_tot: -45.0 eV per formula unit
data_Ho4BI3Br2
_symmetry_space_group_name_H-M 'C 1 2/m 1'
_symmetry_Int_Tables_number 12
_symmetry_space_group_name_Hall '-C 2y'
_cell_length_a 18.5623
_cell_length_b 3.9864
_cell_length_c 8.5377
_cell_angle_alpha 90.00
_cell_angle_beta 102.02
_cell_angle_gamma 90.00
loop_
_atom_site_label
_atom_site_type_symbol
_atom_site_fract_x
_atom_site_fract_y
_atom_site_fract_z
_atom_site_occupancy
Ho1 Ho 0.0006 0.0000 0.3045 1
Ho2 Ho 0.1368 0.5000 0.5712 1
B1 B 0.0000 0.5000 0.5000 1
I1 I 0.0000 0.5000 0.0000 1
I2 I 0.1738 0.0000 0.3214 1
Br1 Br 0.1587 0.0000 0.8184 1

=====

# Ho4BI2Br3 | OQMD | PBE | relaxed
# E_tot: -45.7 eV per formula unit
data_Ho4BI2Br3
_symmetry_space_group_name_H-M 'C 1 2/m 1'
_symmetry_Int_Tables_number 12
_symmetry_space_group_name_Hall '-C 2y'
_cell_length_a 18.6499
_cell_length_b 3.9463
_cell_length_c 8.2098
_cell_angle_alpha 90.00
_cell_angle_beta 101.79
_cell_angle_gamma 90.00
loop_
_atom_site_label
_atom_site_type_symbol
_atom_site_fract_x
_atom_site_fract_y
_atom_site_fract_z
_atom_site_occupancy
Ho1 Ho 0.0009 0.0000 0.2949 1
Ho2 Ho 0.1358 0.5000 0.5720 1
B1 B 0.0000 0.5000 0.5000 1
I1 I 0.1730 0.0000 0.3128 1
Br1 Br 0.0000 0.5000 0.0000 1
Br2 Br 0.1574 0.0000 0.8303 1

=====

# Pr2Ho2BIBr4 | OQMD | PBE | relaxed
# E_tot: -47.0 eV per formula unit
data_Pr2Ho2BIBr4
_symmetry_space_group_name_H-M 'C 1 2/m 1'
_symmetry_Int_Tables_number 12
_symmetry_space_group_name_Hall '-C 2y'
_cell_length_a 18.2258
_cell_length_b 4.0375
_cell_length_c 9.0303
_cell_angle_alpha 90.00
_cell_angle_beta 102.82
_cell_angle_gamma 90.00
loop_
_atom_site_label
_atom_site_type_symbol
_atom_site_fract_x
_atom_site_fract_y
_atom_site_fract_z
_atom_site_occupancy
Pr1 Pr 0.0012 0.0000 0.2978 1
Ho1 Ho 0.1405 0.5000 0.5693 1
B1 B 0.0000 0.5000 0.5000 1
I1 I 0.0000 0.5000 0.0000 1
Br1 Br 0.1699 0.0000 0.8016 1
Br2 Br 0.1753 0.0000 0.3612 1

=====

# Sm2Ho2BIBr4 | OQMD | PBE | relaxed
# E_tot: -46.9 eV per formula unit
data_Sm2Ho2BIBr4
_symmetry_space_group_name_H-M 'C 1 2/m 1'
_symmetry_Int_Tables_number 12
_symmetry_space_group_name_Hall '-C 2y'
_cell_length_a 18.1049
_cell_length_b 3.9849
_cell_length_c 8.5139
_cell_angle_alpha 90.00
_cell_angle_beta 103.61
_cell_angle_gamma 90.00
loop_
_atom_site_label
_atom_site_type_symbol
_atom_site_fract_x
_atom_site_fract_y
_atom_site_fract_z
_atom_site_occupancy
Sm1 Sm 0.1452 0.0000 0.0764 1
Ho1 Ho 0.0000 0.5000 0.1968 1
B1 B 0.0000 0.0000 0.0000 1
I1 I 0.0000 0.0000 0.5000 1
Br1 Br 0.1633 0.5000 0.3353 1
Br2 Br 0.1684 0.5000 0.8313 1

=====

# Y2Ho2BBr5 | OQMD | PBE | relaxed
# E_tot: -51.2 eV per formula unit
data_Y2Ho2BBr5
_symmetry_space_group_name_H-M 'C 1 2/m 1'
_symmetry_Int_Tables_number 12
_symmetry_space_group_name_Hall '-C 2y'
_cell_length_a 17.8933
_cell_length_b 3.9023
_cell_length_c 8.1559
_cell_angle_alpha 90.00
_cell_angle_beta 102.84
_cell_angle_gamma 90.00
loop_
_atom_site_label
_atom_site_type_symbol
_atom_site_fract_x
_atom_site_fract_y
_atom_site_fract_z
_atom_site_occupancy
Y1 Y 0.1427 0.0000 0.0753 1
Ho1 Ho 0.0006 0.5000 0.7935 1
B1 B 0.0000 0.0000 0.0000 1
Br1 Br 0.0000 0.0000 0.5000 1
Br2 Br 0.1647 0.5000 0.3400 1
Br3 Br 0.1718 0.5000 0.8303 1

=====

# Nd2Sm2BI2Br3 | OQMD | PBE | relaxed
# E_tot: -46.6 eV per formula unit
data_Nd2Sm2BI2Br3
_symmetry_space_group_name_H-M 'C 1 2/m 1'
_symmetry_Int_Tables_number 12
_symmetry_space_group_name_Hall '-C 2y'
_cell_length_a 19.1465
_cell_length_b 4.0861
_cell_length_c 8.5099
_cell_angle_alpha 90.00
_cell_angle_beta 102.59
_cell_angle_gamma 90.00
loop_
_atom_site_label
_atom_site_type_symbol
_atom_site_fract_x
_atom_site_fract_y
_atom_site_fract_z
_atom_site_occupancy
Nd1 Nd 0.9998 0.0000 0.2128 1
Sm1 Sm 0.1384 0.5000 0.0754 1
B1 B 0.0000 0.5000 0.0000 1
I1 I 0.1729 0.0000 0.8169 1
Br1 Br 0.0000 0.5000 0.5000 1
Br2 Br 0.1602 0.0000 0.3305 1

=====

# Nd2Sm2B2IBr4 | OQMD | PBE | relaxed
# E_tot: -53.9 eV per formula unit
data_Nd2Sm2B2IBr4
_symmetry_space_group_name_H-M 'C 1 2/m 1'
_symmetry_Int_Tables_number 12
_symmetry_space_group_name_Hall '-C 2y'
_cell_length_a 20.2956
_cell_length_b 4.0376
_cell_length_c 8.6572
_cell_angle_alpha 90.00
_cell_angle_beta 103.87
_cell_angle_gamma 90.00
loop_
_atom_site_label
_atom_site_type_symbol
_atom_site_fract_x
_atom_site_fract_y
_atom_site_fract_z
_atom_site_occupancy
Nd1 Nd 0.0008 0.0000 0.1963 1
Sm1 Sm 0.1606 0.5000 0.1003 1
B1 B 0.0397 0.5000 0.0227 1
I1 I 0.0000 0.5000 0.5000 1
Br1 Br 0.1636 0.0000 0.3448 1
Br2 Br 0.1701 0.0000 0.8532 1